# Cs3Zn2Au3

A relaxed structure of Cs3Zn2Au3 (PBE, Alexandria via LeMat-Bulk).

```
data_Cs3Zn2Au3
_chemical_formula_sum 'Cs12 Zn8 Au12'
_cell_length_a 4.9224
_cell_length_b 13.6598
_cell_length_c 16.7446
_cell_angle_alpha 90.00
_cell_angle_beta 90.00
_cell_angle_gamma 90.00
_symmetry_space_group_name_H-M 'C m c m'
_symmetry_Int_Tables_number 63
_symmetry_space_group_name_Hall '-C 2c 2'
loop_
_atom_site_label
_atom_site_type_symbol
_atom_site_fract_x
_atom_site_fract_y
_atom_site_fract_z
Cs1 Cs 0.0000 0.0758 0.1044
Cs2 Cs 0.0000 0.3882 0.2500
Zn1 Zn 0.0000 0.2191 0.5993
Au1 Au 0.0000 0.2908 0.7500
Au2 Au 0.0000 0.3163 0.0442
```

The value obtained for the energy is -2.09 eV/atom. Its formation energy is -0.226 eV per atom. As for the density: 6.6 g/cm3.